*i*
Density functional theory data (SCAN) for TlSbAs at its PBEsol-relaxed geometry.

Output
- D(E_F) (states/eV/f.u.) = 1.02

Unit cell a=3.6328 b=3.6328 c=6.4090 alpha=106.46 beta=106.46 gamma=90.00
Closest atoms and distances in Å follow each position.
Positions (direct):
Sb  0.6318  0.6318  0.2637  4 As 2.84
Tl  0.3404  0.3404  0.6809  5 As 3.38-3.67, 5 Sb 3.42-3.55, 4 Tl 3.63
As  0.0277  0.0277  0.0555  4 Sb 2.84

=====

*ii*
Density functional theory data (SCAN) for TlSbAs at its PBEsol-relaxed geometry.

Output
- D(E_F) (states/eV/f.u.) = 2.41

Unit cell a=4.9698 b=4.9698 c=4.9698 alpha=60.00 beta=60.00 gamma=60.00
Closest atoms and distances in Å follow each position.
Positions (direct):
Sb  0.7500  0.7500  0.7500  4 Tl 3.04, 4 As 3.04
Tl  0.0000  0.0000  0.0000  4 Sb 3.04
As  0.5000  0.5000  0.5000  4 Sb 3.04

=====

How do the energies compare? Relative to the most stable structure, in kJ/mol of atoms: *i* 0.0; *ii* 26.1.

=====

*i*
Density functional theory data (SCAN) for TlSbAs at its PBEsol-relaxed geometry.

Output
- D(E_F) (states/eV/f.u.) = 1.11

Unit cell a=3.8023 b=3.8023 c=6.5542 alpha=90.00 beta=90.00 gamma=120.00
Closest atoms and distances in Å follow each position.
Positions (direct):
Sb  0.3333  0.6667  0.7206  3 As 2.71
Tl  0.6667  0.3333  0.3158  3 As 3.19, 3 Sb 3.44
As  0.0000  0.0000  0.9636  3 Sb 2.71

=====

*ii*
Density functional theory data (SCAN) for TlSbAs at its PBEsol-relaxed geometry.

Output
- D(E_F) (states/eV/f.u.) = 1.26

Unit cell a=3.2068 b=5.1649 c=5.1649 alpha=120.00 beta=90.00 gamma=90.00
Closest atoms and distances in Å follow each position.
Positions (direct):
Sb  0.0000  0.3333  0.6667  3 As 2.98, 2 Sb 3.21
Tl  0.5000  0.6667  0.3333  2 Tl 3.21, 6 As 3.39, 6 Sb 3.39
As  0.0000  0.0000  0.0000  3 Sb 2.98, 2 As 3.21

=====

How do the energies compare? Relative to the most stable structure, in kJ/mol of atoms: *i* 0.0; *ii* 14.3.

=====

*i*
Density functional theory data (SCAN) for Tl2SbAs at its PBEsol-relaxed geometry.

Output
- D(E_F) (states/eV/f.u.) = 1.81

Unit cell a=3.9514 b=4.2603 c=7.1970 alpha=107.22 beta=105.93 gamma=90.00
Closest atoms and distances in Å follow each position.
Positions (direct):
Sb  0.0000  0.5000  0.0000  4 As 2.91
Tl  0.8105  0.8105  0.6210  2 As 3.18, 2 Sb 3.28, 4 Tl 3.31
Tl  0.1895  0.1895  0.3790  2 As 3.18, 2 Sb 3.28, 4 Tl 3.31
As  0.5000  0.0000  0.0000  4 Sb 2.91, 4 Tl 3.18

=====

*ii*
Density functional theory data (SCAN) for Tl2SbAs at its PBEsol-relaxed geometry.

Output
- D(E_F) (states/eV/f.u.) = 1.75

Unit cell a=3.7751 b=3.7751 c=9.2300 alpha=78.20 beta=78.20 gamma=60.00
Closest atoms and distances in Å follow each position.
Positions (direct):
Sb  0.2353  0.2353  0.2941  3 As 2.71
Tl  0.9974  0.9974  0.0077  3 Tl 3.35, 3 Sb 3.37
Tl  0.7585  0.7585  0.7245  3 As 3.13, 3 Tl 3.35
As  0.5088  0.5088  0.4737  3 Sb 2.71

=====

How do the energies compare? Relative to the most stable structure, in kJ/mol of atoms: *i* 2.2; *ii* 0.0.

=====

*i*
Density functional theory data (SCAN) for Tl2SbAs at its PBEsol-relaxed geometry.

Output
- D(E_F) (states/eV/f.u.) = 2.09

Unit cell a=4.4082 b=4.4082 c=6.1650 alpha=110.95 beta=110.95 gamma=90.00
Closest atoms and distances in Å follow each position.
Positions (direct):
Sb  0.0000  0.0000  0.0000  4 As 3.12, 8 Tl 3.45
Tl  0.7500  0.2500  0.5000  4 Tl 3.12, 4 Sb 3.45, 4 As 3.45
Tl  0.2500  0.7500  0.5000  4 Tl 3.12, 4 As 3.45, 4 Sb 3.45
As  0.5000  0.5000  0.0000  4 Sb 3.12, 8 Tl 3.45

=====

*ii*
Density functional theory data (SCAN) for Tl2SbAs at its PBEsol-relaxed geometry.

Output
- D(E_F) (states/eV/f.u.) = 2.65

Unit cell a=5.2515 b=5.2515 c=5.2515 alpha=60.00 beta=60.00 gamma=60.00
Closest atoms and distances in Å follow each position.
Positions (direct):
Sb  0.2500  0.2500  0.2500  4 Tl 3.22, 4 As 3.22
Tl  0.0000  0.0000  0.0000  4 Sb 3.22, 4 Tl 3.22
Tl  0.7500  0.7500  0.7500  4 As 3.22, 4 Tl 3.22
As  0.5000  0.5000  0.5000  4 Tl 3.22, 4 Sb 3.22

=====

*iii*
Density functional theory data (SCAN) for Tl2SbAs at its PBEsol-relaxed geometry.

Output
- D(E_F) (states/eV/f.u.) = 2.03

Unit cell a=3.7731 b=3.7731 c=7.4432 alpha=90.00 beta=90.00 gamma=90.00
Closest atoms and distances in Å follow each position.
Positions (direct):
Sb  0.5000  0.5000  0.6988  4 As 2.90, 1 Tl 3.18
Tl  0.0000  0.0000  0.9828  1 As 3.25, 4 Sb 3.40, 4 Tl 3.43
Tl  0.5000  0.5000  0.2721  1 Sb 3.18, 4 As 3.36, 4 Tl 3.43
As  0.0000  0.0000  0.5463  4 Sb 2.90

=====

How do the energies compare? Relative to the most stable structure, in kJ/mol of atoms: *i* 11.2; *ii* 15.8; *iii* 0.0.